## DySc2Mn (PBE)

Data for a relaxed structure of DySc2Mn.

abc: 3.2125 3.2125 8.5670
angles: 90.00 90.00 90.00
Sites, in units of the cell vectors:
Dy (0.0000, 0.0000, 0.0000)
Sc (0.5000, 0.5000, 0.3166)
Sc (0.5000, 0.5000, 0.6834)
Mn (0.0000, 0.0000, 0.5000)

Summary:
Total magnetic moment in μB/atom: 0.2978
Calculated formation energy in eV per atom: 0.08
Symmetry: P4/mmm (123)
D(E_F) in states/eV/f.u.: 6.18